This record from the Alexandria database describes a relaxed structure of CaCu3Mo4O12. The functional is PBE with a Hubbard U.

Summary:
- raw total energy (eV per atom) = -6.63

Cell lengths 10.8524, 10.8524, 6.6789 Å; angles 90.00, 90.00, 120.00 degrees
With the nearest neighbours (Å) after each atom.
Space group R-3 (No. 148, hexagonal axes)
Symmetry-distinct sites (fractional):
Ca (0.0000, 0.0000, 0.0000) x3  12 O 2.68
Cu (0.0000, 0.5000, 0.0000) x9  4 O 2.00
Mo (0.0000, 0.0000, 0.5000) x3  6 O 2.06
Mo (0.0000, 0.5000, 0.5000) x9  6 O 2.02-2.10
O (0.0125, 0.8544, 0.6835) x18  1 Cu 2.00, 2 Mo 2.06
O (0.0410, 0.7823, 0.0920) x18  1 Cu 2.00, 2 Mo 2.02-2.10